Entry 1:
Density functional theory data (PBE-GGA) for a relaxed PmY2Hg3 crystal.

Properties
Energy of formation, meV/atom: -496
N(E_F), states/eV/atom: 1.048
Crystal system: tetragonal

a = 3.754 Å, b = 3.754 Å, c = 11.301 Å
α = 90.00°, β = 90.00°, γ = 90.00°
Space group P4/mmm (No. 123)
Symmetry-distinct sites (fractional):
Pm 0.000 0.000 0.000
Y 0.000 0.000 0.336
Hg 0.500 0.500 0.176
Hg 0.500 0.500 0.500

***

Entry 2:
Density functional theory data (PBE-GGA) for a relaxed PmYHg3 crystal.

Properties
Energy of formation, meV/atom: -385
Energy above the lowest structure with this stoichiometry, eV/f.u.: 0.23
N(E_F), states/eV/atom: 0.816
Crystal system: triclinic

a = 7.712 Å, b = 7.797 Å, c = 9.671 Å
α = 109.43°, β = 90.48°, γ = 93.82°
Space group P-1 (No. 2)
Symmetry-distinct sites (fractional):
Pm 0.220 0.430 0.032
Pm 0.230 0.880 0.882
Y 0.269 0.116 0.617
Y 0.278 0.567 0.471
Hg 0.028 0.205 0.391
Hg 0.056 0.472 0.719
Hg 0.078 0.842 0.175
Hg 0.424 0.165 0.336
Hg 0.445 0.519 0.770
Hg 0.471 0.798 0.117